No. 1
Compound: CuAg
Source: the Open Quantum Materials Database
Functional: PBE
Structure: optimized geometry

POSCAR file:
```
CuAg
1.0
4.757 0.000 0.000
0.000 2.821 0.000
-1.149 0.000 11.169
Cu Ag
5 5
direct
0.000 0.000 0.000
0.093 0.500 0.819
0.286 0.500 0.414
0.471 0.500 0.006
0.689 0.500 0.615
0.189 0.000 0.616
0.380 0.000 0.208
0.598 0.000 0.815
0.781 0.000 0.416
0.881 0.500 0.196
```

Properties
calculated total energy: -3.17 eV/atom
space-group type: No. 6
energy of formation: 104 meV per atom

No. 2
Compound: Cu4Ag5
Source: the Open Quantum Materials Database
Functional: PBE
Structure: optimized geometry

POSCAR file:
```
Cu4Ag5
1.0
7.207 -1.418 0.000
7.207 1.418 0.000
-4.606 0.000 6.753
Cu Ag
4 5
direct
0.065 0.065 0.295
0.279 0.279 0.408
0.721 0.721 0.592
0.935 0.935 0.705
0.167 0.167 0.826
0.389 0.389 0.933
0.500 0.500 0.500
0.611 0.611 0.067
0.833 0.833 0.174
```

Properties
calculated total energy: -3.13 eV/atom
space-group type: No. 12
energy of formation: 96 meV per atom
E above lowest polymorph: 0.058 eV per atom